The following is a PBE calculation of an optimized crystal structure of Li2Al8V, from Alexandria.

```
data_Li2Al8V
_chemical_formula_sum 'Li2 Al8 V1'
_space_group_name_H-M_alt 'P 1'
_space_group_IT_number 1
_cell_length_a 7.283
_cell_length_b 7.283
_cell_length_c 7.283
_cell_angle_alpha 147.60
_cell_angle_beta 122.68
_cell_angle_gamma 67.40
loop_
_space_group_symop_operation_xyz
'x,y,z'
loop_
_atom_site_label
_atom_site_fract_x
_atom_site_fract_y
_atom_site_fract_z
Li1 0.199 0.199 0.000
Li2 0.801 0.801 0.000
Al1 0.064 0.345 0.719
Al2 0.199 0.000 0.199
Al3 0.350 0.850 0.500
Al4 0.375 0.655 0.719
Al5 0.625 0.345 0.281
Al6 0.650 0.150 0.500
Al7 0.801 0.000 0.801
Al8 0.936 0.655 0.281
V1 0.500 0.500 0.000
```

Summary:
**Volume**: 172.0 Å³ per cell
**Raw total energy**: -3.962 eV/atom
**Formation energy**: -0.7 eV per formula unit


The following is a PBE calculation of an optimized crystal structure of Li2Al6V, from Alexandria.

```
data_Li2Al6V
_chemical_formula_sum 'Li2 Al6 V1'
_space_group_name_H-M_alt 'P 1'
_space_group_IT_number 1
_cell_length_a 7.557
_cell_length_b 7.557
_cell_length_c 2.825
_cell_angle_alpha 90.00
_cell_angle_beta 90.00
_cell_angle_gamma 120.00
loop_
_space_group_symop_operation_xyz
'x,y,z'
loop_
_atom_site_label
_atom_site_fract_x
_atom_site_fract_y
_atom_site_fract_z
Li1 0.333 0.667 0.000
Li2 0.667 0.333 0.000
Al1 0.000 0.363 0.500
Al2 0.000 0.699 0.000
Al3 0.301 0.301 0.000
Al4 0.363 0.000 0.500
Al5 0.637 0.637 0.500
Al6 0.699 0.000 0.000
V1 0.000 0.000 0.500
```

Summary:
**Volume**: 139.7 Å³ per cell
**Raw total energy**: -3.938 eV/atom
**Formation energy**: 0.0 eV per formula unit